Entry 1:
Entry from Alexandria via LeMat-Bulk: a relaxed Fe3Ni5Ir3 crystal (PBE-GGA). Values from VASP.

V   145 Å³/cell
DOS(E_F)   17.27 states/eV per cell
Magnetic moment   2.3 Bohr magnetons per cell
Total DFT energy (no corrections)   -6.86 eV/atom

Quantum ESPRESSO input file:
```
&SYSTEM
  ibrav = 0, nat = 11, ntyp = 3
/
ATOMIC_SPECIES
Fe 55.84 Fe.upf
Ni 58.69 Ni.upf
Ir 192.22 Ir.upf
CELL_PARAMETERS angstrom
-1.5228 1.3785 -1.4992
-6.3450 -4.5484 2.2626
1.9125 6.6871 4.2062
ATOMIC_POSITIONS crystal
Fe 0.5000 0.8421 0.0000
Fe 0.5000 0.1579 0.1579
Fe 0.5000 0.0000 0.8421
Ni 0.5000 0.6667 0.3333
Ni 0.5000 0.3333 0.6667
Ni 0.5000 0.3280 0.0000
Ni 0.5000 0.6720 0.6720
Ni 0.5000 0.0000 0.3280
Ir 0.0000 0.5881 0.0000
Ir 0.0000 0.0000 0.5881
Ir 0.0000 0.4119 0.4119
```

---

Entry 2:
Entry from Alexandria via LeMat-Bulk: a relaxed FeNi2Ir4 crystal (PBE-GGA). Values from VASP.

V   95 Å³/cell
DOS(E_F)   9.14 states/eV per cell
Magnetic moment   1.2 Bohr magnetons per cell
Total DFT energy (no corrections)   -7.83 eV/atom

Quantum ESPRESSO input file:
```
&SYSTEM
  ibrav = 0, nat = 7, ntyp = 3
/
ATOMIC_SPECIES
Ni 58.69 Ni.upf
Ir 192.22 Ir.upf
Fe 55.84 Fe.upf
CELL_PARAMETERS angstrom
-2.1369 1.1958 1.1320
-1.2439 -2.3802 0.1662
6.2846 -2.4964 11.2862
ATOMIC_POSITIONS crystal
Ni 0.7889 0.5000 0.5778
Ni 0.2111 0.5000 0.4222
Ir 0.9297 0.5000 0.8594
Ir 0.6442 0.0000 0.2884
Ir 0.0703 0.5000 0.1406
Ir 0.3558 0.0000 0.7116
Fe 0.5000 0.0000 0.0000
```

---

Entry 3:
Entry from Alexandria via LeMat-Bulk: a relaxed Fe6NiIr crystal (PBE-GGA). Values from VASP.

V   98 Å³/cell
DOS(E_F)   8.68 states/eV per cell
Magnetic moment   17.7 Bohr magnetons per cell
Total DFT energy (no corrections)   -8.17 eV/atom

Quantum ESPRESSO input file:
```
&SYSTEM
  ibrav = 0, nat = 8, ntyp = 3
/
ATOMIC_SPECIES
Fe 55.84 Fe.upf
Ni 58.69 Ni.upf
Ir 192.22 Ir.upf
CELL_PARAMETERS angstrom
-1.7918 -3.6692 -0.5704
4.2837 -2.2988 1.3310
-2.8897 0.7807 4.0554
ATOMIC_POSITIONS crystal
Fe 0.5000 0.0000 0.5000
Fe 0.5000 0.5000 0.0000
Fe 0.0000 0.2577 0.2577
Fe 0.0000 0.7423 0.7423
Fe 0.0000 0.7505 0.2495
Fe 0.0000 0.2495 0.7505
Ni 0.5000 0.5000 0.5000
Ir 0.5000 0.0000 0.0000
```

---

Entry 4:
Entry from Alexandria via LeMat-Bulk: a relaxed Fe2Ni2Ir5 crystal (PBE-GGA). Values from VASP.

V   120 Å³/cell
DOS(E_F)   10.81 states/eV per cell
Magnetic moment   6.4 Bohr magnetons per cell
Total DFT energy (no corrections)   -8.09 eV/atom

Quantum ESPRESSO input file:
```
&SYSTEM
  ibrav = 0, nat = 9, ntyp = 3
/
ATOMIC_SPECIES
Fe 55.84 Fe.upf
Ni 58.69 Ni.upf
Ir 192.22 Ir.upf
CELL_PARAMETERS angstrom
-1.6879 2.7626 2.0016
-4.5808 -3.6130 1.1238
4.6330 -2.0139 3.0675
ATOMIC_POSITIONS crystal
Fe 0.8900 0.3366 0.7801
Fe 0.1100 0.6634 0.2199
Ni 0.5525 0.3331 0.1050
Ni 0.4475 0.6669 0.8950
Ir 0.6652 0.9957 0.3304
Ir 0.3348 0.0043 0.6696
Ir 0.7743 0.6618 0.5486
Ir 0.2257 0.3382 0.4514
Ir 0.0000 0.0000 0.0000
```

---

Entry 5:
Entry from Alexandria via LeMat-Bulk: a relaxed Fe5Ni8Ir crystal (PBE-GGA). Values from VASP.

V   172 Å³/cell
DOS(E_F)   11.38 states/eV per cell
Magnetic moment   20.1 Bohr magnetons per cell
Total DFT energy (no corrections)   -6.73 eV/atom

Quantum ESPRESSO input file:
```
&SYSTEM
  ibrav = 0, nat = 14, ntyp = 3
/
ATOMIC_SPECIES
Fe 55.84 Fe.upf
Ni 58.69 Ni.upf
Ir 192.22 Ir.upf
CELL_PARAMETERS angstrom
6.0640 0.0006 -0.0011
-2.0512 5.7065 0.0011
-1.9616 -2.8851 4.9599
ATOMIC_POSITIONS crystal
Fe 0.0409 0.3335 0.1204
Fe 0.8796 0.9205 0.2131
Fe 0.7869 0.6665 0.7074
Fe 0.5000 0.0000 0.5000
Fe 0.2926 0.0795 0.9591
Ni 0.1345 0.7233 0.0806
Ni 0.9194 0.0539 0.6427
Ni 0.7483 0.2709 0.3424
Ni 0.6576 0.4059 0.9285
Ni 0.5226 0.5941 0.2517
Ni 0.5888 0.9461 0.8655
Ni 0.3573 0.2767 0.4112
Ni 0.0715 0.7291 0.4774
Ir 0.2500 0.5000 0.7500
```

---

Entry 6:
Entry from Alexandria via LeMat-Bulk: a relaxed Fe2NiIr9 crystal (PBE-GGA). Values from VASP.

V   167 Å³/cell
DOS(E_F)   19.53 states/eV per cell
Magnetic moment   4.7 Bohr magnetons per cell
Total DFT energy (no corrections)   -8.53 eV/atom

Quantum ESPRESSO input file:
```
&SYSTEM
  ibrav = 0, nat = 12, ntyp = 3
/
ATOMIC_SPECIES
Fe 55.84 Fe.upf
Ni 58.69 Ni.upf
Ir 192.22 Ir.upf
CELL_PARAMETERS angstrom
-1.1969 2.6270 2.4990
-3.6253 -0.9079 -0.7819
0.1689 -7.8492 8.3319
ATOMIC_POSITIONS crystal
Fe 0.0000 0.0000 0.3292
Fe 0.0000 0.0000 0.6708
Ni 0.0000 0.0000 0.0000
Ir 0.5000 0.5000 0.0000
Ir 0.5000 0.5000 0.3336
Ir 0.5000 0.5000 0.6664
Ir 0.5000 0.0000 0.1679
Ir 0.5000 0.0000 0.5000
Ir 0.5000 0.0000 0.8321
Ir 0.0000 0.5000 0.1679
Ir 0.0000 0.5000 0.5000
Ir 0.0000 0.5000 0.8321
```

---

Entry 7:
Entry from Alexandria via LeMat-Bulk: a relaxed Fe3NiIr4 crystal (PBE-GGA). Values from VASP.

V   104 Å³/cell
DOS(E_F)   8.15 states/eV per cell
Magnetic moment   6.5 Bohr magnetons per cell
Total DFT energy (no corrections)   -8.36 eV/atom

Quantum ESPRESSO input file:
```
&SYSTEM
  ibrav = 0, nat = 8, ntyp = 3
/
ATOMIC_SPECIES
Ni 58.69 Ni.upf
Ir 192.22 Ir.upf
Fe 55.84 Fe.upf
CELL_PARAMETERS angstrom
3.6649 -0.0012 -0.9893
-0.2634 3.6601 -0.9713
0.1080 0.0785 7.6833
ATOMIC_POSITIONS crystal
Ni 0.5000 0.0000 0.0000
Ir 0.3741 0.3741 0.7479
Ir 0.6259 0.6259 0.2521
Ir 0.1260 0.1258 0.2521
Ir 0.8740 0.8742 0.7479
Fe 0.0000 0.5000 0.0000
Fe 0.7485 0.2485 0.4966
Fe 0.2515 0.7515 0.5034
```

---

Entry 8:
Entry from Alexandria via LeMat-Bulk: a relaxed Fe5Ni6Ir crystal (PBE-GGA). Values from VASP.

V   140 Å³/cell
DOS(E_F)   8.86 states/eV per cell
Magnetic moment   18.0 Bohr magnetons per cell
Total DFT energy (no corrections)   -7.21 eV/atom

Quantum ESPRESSO input file:
```
&SYSTEM
  ibrav = 0, nat = 12, ntyp = 3
/
ATOMIC_SPECIES
Ni 58.69 Ni.upf
Ir 192.22 Ir.upf
Fe 55.84 Fe.upf
CELL_PARAMETERS angstrom
3.4325 0.2673 -1.0016
-1.3857 6.4592 -3.0351
0.1374 -0.9348 6.6503
ATOMIC_POSITIONS crystal
Ni 0.1675 0.4202 0.3348
Ni 0.1675 0.9146 0.3348
Ni 0.5000 0.2554 0.0001
Ni 0.5000 0.7446 0.9999
Ni 0.8325 0.0854 0.6652
Ni 0.8325 0.5798 0.6652
Ir 0.0000 0.0000 0.0000
Fe 0.3307 0.8308 0.6614
Fe 0.6654 0.6655 0.3308
Fe 0.0000 0.5000 0.0000
Fe 0.3346 0.3345 0.6692
Fe 0.6693 0.1692 0.3386
```

---

Entry 9:
Entry from Alexandria via LeMat-Bulk: a relaxed FeNi5Ir6 crystal (PBE-GGA). Values from VASP.

V   154 Å³/cell
DOS(E_F)   14.10 states/eV per cell
Magnetic moment   2.1 Bohr magnetons per cell
Total DFT energy (no corrections)   -7.53 eV/atom

Quantum ESPRESSO input file:
```
&SYSTEM
  ibrav = 0, nat = 12, ntyp = 3
/
ATOMIC_SPECIES
Ni 58.69 Ni.upf
Ir 192.22 Ir.upf
Fe 55.84 Fe.upf
CELL_PARAMETERS angstrom
-0.2154 -3.0390 -2.2598
7.1078 0.0672 -0.7686
-2.9246 -1.9084 6.0391
ATOMIC_POSITIONS crystal
Ni 0.6648 0.1646 0.3292
Ni 0.3339 0.3340 0.6679
Ni 0.0000 0.5000 0.0000
Ni 0.6661 0.6660 0.3321
Ni 0.3352 0.8354 0.6708
Ir 0.8331 0.5836 0.6663
Ir 0.8331 0.0827 0.6663
Ir 0.5000 0.7501 0.0000
Ir 0.5000 0.2499 0.0000
Ir 0.1669 0.9173 0.3337
Ir 0.1669 0.4164 0.3337
Fe 0.0000 0.0000 0.0000
```

---

Entry 10:
Entry from Alexandria via LeMat-Bulk: a relaxed Fe3Ni2Ir4 crystal (PBE-GGA). Values from VASP.

V   117 Å³/cell
DOS(E_F)   11.62 states/eV per cell
Magnetic moment   8.4 Bohr magnetons per cell
Total DFT energy (no corrections)   -8.07 eV/atom

Quantum ESPRESSO input file:
```
&SYSTEM
  ibrav = 0, nat = 9, ntyp = 3
/
ATOMIC_SPECIES
Fe 55.84 Fe.upf
Ni 58.69 Ni.upf
Ir 192.22 Ir.upf
CELL_PARAMETERS angstrom
2.5908 0.0008 -0.7216
-0.7101 6.4985 -2.5498
0.5352 -0.3581 6.9352
ATOMIC_POSITIONS crystal
Fe 0.1488 0.6716 0.2959
Fe 0.8512 0.3284 0.7041
Fe 0.0000 0.0000 0.0000
Ni 0.6692 0.9971 0.3377
Ni 0.3308 0.0029 0.6623
Ir 0.4827 0.6714 0.9646
Ir 0.1876 0.3275 0.3752
Ir 0.5173 0.3286 0.0354
Ir 0.8124 0.6725 0.6248
```

---

Entry 11:
Entry from Alexandria via LeMat-Bulk: a relaxed FeNi8Ir6 crystal (PBE-GGA). Values from VASP.

V   192 Å³/cell
DOS(E_F)   22.84 states/eV per cell
Magnetic moment   8.2 Bohr magnetons per cell
Total DFT energy (no corrections)   -7.08 eV/atom

Quantum ESPRESSO input file:
```
&SYSTEM
  ibrav = 0, nat = 15, ntyp = 3
/
ATOMIC_SPECIES
Fe 55.84 Fe.upf
Ni 58.69 Ni.upf
Ir 192.22 Ir.upf
CELL_PARAMETERS angstrom
5.6733 0.0000 3.2672
1.8959 5.3471 3.2672
0.0882 0.0623 6.4060
ATOMIC_POSITIONS crystal
Fe 0.0000 0.0000 0.0000
Ni 0.8851 0.3269 0.5882
Ni 0.8001 0.1149 0.4118
Ni 0.6731 0.8001 0.4118
Ni 0.4242 0.4242 0.7274
Ni 0.5758 0.5758 0.2726
Ni 0.3269 0.1999 0.5882
Ni 0.1999 0.8851 0.5882
Ni 0.1149 0.6731 0.4118
Ir 0.0673 0.5489 0.1193
Ir 0.7355 0.9327 0.8807
Ir 0.4511 0.7355 0.8807
Ir 0.5489 0.2645 0.1193
Ir 0.2645 0.0673 0.1193
Ir 0.9327 0.4511 0.8807
```

---

Entry 12:
Entry from Alexandria via LeMat-Bulk: a relaxed FeNi3Ir3 crystal (PBE-GGA). Values from VASP.

V   186 Å³/cell
DOS(E_F)   20.07 states/eV per cell
Magnetic moment   6.6 Bohr magnetons per cell
Total DFT energy (no corrections)   -7.29 eV/atom

Quantum ESPRESSO input file:
```
&SYSTEM
  ibrav = 0, nat = 14, ntyp = 3
/
ATOMIC_SPECIES
Fe 55.84 Fe.upf
Ni 58.69 Ni.upf
Ir 192.22 Ir.upf
CELL_PARAMETERS angstrom
5.8844 0.6085 2.7710
2.0001 5.5674 2.7710
0.7768 0.6085 6.4577
ATOMIC_POSITIONS crystal
Fe 0.3447 0.3447 0.3447
Fe 0.6553 0.6553 0.6553
Ni 0.7302 0.1965 0.9022
Ni 0.1965 0.9022 0.7302
Ni 0.9022 0.7302 0.1965
Ni 0.0978 0.2698 0.8035
Ni 0.8035 0.0978 0.2698
Ni 0.2698 0.8035 0.0978
Ir 0.7397 0.5705 0.0549
Ir 0.0549 0.7397 0.5705
Ir 0.5705 0.0549 0.7397
Ir 0.4295 0.9451 0.2603
Ir 0.9451 0.2603 0.4295
Ir 0.2603 0.4295 0.9451
```